[1]
DFT (PBE-GGA) results for crystalline BeAsI2 at its relaxed geometry.

Computed properties:
The value obtained for the energy relative to the lowest polymorph listed for this composition is 0.0000 eV/atom.

a = 7.693 Å, b = 7.693 Å, c = 9.466 Å
α = 90.00°, β = 90.00°, γ = 90.00°
Space group I-42d (No. 122)
Unique sites:
Be: 0.000 0.000 0.000
As: 0.000 0.000 0.500
I: 0.126 0.250 0.125

***

[2]
DFT (PBE-GGA) results for crystalline Be2AsI at its relaxed geometry.

Computed properties:
The value obtained for the energy relative to the lowest polymorph listed for this composition is 0.0000 eV/atom.

a = 5.537 Å, b = 5.537 Å, c = 11.000 Å
α = 90.00°, β = 90.00°, γ = 90.00°
Space group I-42d (No. 122)
Unique sites:
Be: 0.186 0.250 0.125
As: 0.000 0.000 0.000
I: 0.000 0.000 0.500

***

[3]
DFT (PBE-GGA) results for crystalline Be2InAsI at its relaxed geometry.

Computed properties:
The total DFT energy (no corrections) comes out at -11.9 eV per cell.

a = 4.609 Å, b = 4.609 Å, c = 5.852 Å
α = 90.00°, β = 90.00°, γ = 90.00°
Space group P4/mmm (No. 123)
Unique sites:
Be: 0.000 0.500 0.000
In: 0.000 0.000 0.000
As: 0.000 0.000 0.500
I: 0.500 0.500 0.500

***

[4]
DFT (PBE-GGA) results for crystalline MnBeAsI2 at its relaxed geometry.

Computed properties:
The total DFT energy (no corrections) comes out at -17.2 eV per cell.

a = 6.201 Å, b = 6.201 Å, c = 4.065 Å
α = 90.00°, β = 90.00°, γ = 90.00°
Space group P4/mmm (No. 123)
Unique sites:
Mn: 0.000 0.000 0.000
Be: 0.500 0.500 0.000
As: 0.500 0.500 0.500
I: 0.000 0.500 0.500

***

[5]
DFT (PBE-GGA) results for crystalline BeAsI2N at its relaxed geometry.

Computed properties:
The value obtained for the energy relative to the lowest polymorph listed for this composition is 0.4437 eV/atom.

a = 5.867 Å, b = 5.867 Å, c = 3.694 Å
α = 90.00°, β = 90.00°, γ = 90.00°
Space group P4/mmm (No. 123)
Unique sites:
Be: 0.000 0.000 0.000
As: 0.500 0.500 0.500
I: 0.000 0.500 0.500
N: 0.500 0.500 0.000

***

[6]
DFT (PBE-GGA) results for crystalline BeAsIN2 at its relaxed geometry.

Computed properties:
The value obtained for the energy relative to the lowest polymorph listed for this composition is 0.0000 eV/atom.

a = 3.696 Å, b = 3.696 Å, c = 7.275 Å
α = 90.00°, β = 90.00°, γ = 90.00°
Space group P4/mmm (No. 123)
Unique sites:
Be: 0.000 0.000 0.000
As: 0.500 0.500 0.500
I: 0.500 0.500 0.000
N: 0.000 0.500 0.500